1.
A plane-wave DFT calculation with PBE-GGA was carried out for CePrSb2Rh5 after structural relaxation.

Cell and atoms, written as CIF:
```
data_CePrSb2Rh5
_cell_length_a 4.076
_cell_length_b 4.076
_cell_length_c 12.265
_cell_angle_alpha 90.00
_cell_angle_beta 90.00
_cell_angle_gamma 90.00
_space_group_name_H-M_alt 'P 4/m m m'
_space_group_IT_number 123
_space_group_name_Hall '-P 4 2'
loop_
_atom_site_label
_atom_site_fract_x
_atom_site_fract_y
_atom_site_fract_z
_atom_site_occupancy
Ce1 0.000 0.000 0.000 1
Pr1 0.500 0.500 0.500 1
Sb1 0.000 0.000 0.290 1
Rh1 0.000 0.000 0.500 1
Rh2 0.000 0.500 0.156 1
```

Values from the calculation:
- Energy relative to the elements, uncorrected: -0.363 eV per atom

---

2.
A plane-wave DFT calculation with PBE-GGA was carried out for CePr2SmRh2 after structural relaxation.

Cell and atoms, written as CIF:
```
data_CePr2SmRh2
_cell_length_a 7.034
_cell_length_b 13.662
_cell_length_c 6.926
_cell_angle_alpha 90.00
_cell_angle_beta 90.00
_cell_angle_gamma 90.00
_space_group_name_H-M_alt 'I b a m'
_space_group_IT_number 72
_space_group_name_Hall '-I 2 2c'
loop_
_atom_site_label
_atom_site_fract_x
_atom_site_fract_y
_atom_site_fract_z
_atom_site_occupancy
Ce1 0.000 0.000 0.250 1
Pr1 0.216 0.194 0.000 1
Sm1 0.000 0.500 0.250 1
Rh1 0.226 0.102 0.500 1
```

Values from the calculation:
- Energy: -6.2847 eV per atom

---

Number 1: V 22.65 Å³ per atom, D(E_F) 0.8618 states/eV per atom. Number 2: V 27.73 Å³ per atom, D(E_F) 1.3432 states/eV per atom.